Below is a relaxed NaPaCuCl6 crystal, with properties calculated at the PBE-GGA level.

Computed properties:
Total magnetic moment, μB per formula unit: 1.01
N(E_F), states/eV/cell: 1.237
Formation energy (no corrections), eV/atom: -1.5163
SG: P-31c (163)

abc: 6.5717 6.5717 12.9800
angles: 90.00 90.00 120.00
Positions (direct):
Na  0.0000  0.0000  0.0000
Na  0.0000  0.0000  0.5000
Cl  0.9895  0.3441  0.6333
Cl  0.6559  0.6453  0.6333
Cl  0.6453  0.6559  0.1333
Cl  0.6453  0.9895  0.3667
Cl  0.0105  0.3547  0.1333
Cl  0.3547  0.3441  0.8667
Cl  0.3547  0.0105  0.6333
Cl  0.0105  0.6559  0.3667
Cl  0.3441  0.3547  0.3667
Cl  0.6559  0.0105  0.8667
Cl  0.3441  0.9895  0.1333
Cl  0.9895  0.6453  0.8667
Pa  0.6667  0.3333  0.2500
Pa  0.3333  0.6667  0.7500
Cu  0.3333  0.6667  0.2500
Cu  0.6667  0.3333  0.7500